Record 1
KMg2Sc2: relaxed, GGA-PBE.

Summary:
The calculation puts the calculated volume at 29.066 A^3/atom. As for the uncorrected energy: -3.15 eV/atom. For the formation energy, the calculation gives 239 meV/atom.

a = 9.4466 Å, b = 9.4466 Å, c = 3.2572 Å
α = 90.00°, β = 90.00°, γ = 90.00°
Element x y z (fractional)
K (0.0000, 0.0000, 0.0000)
K (0.5000, 0.5000, 0.0000)
Mg (0.1740, 0.3260, 0.5000)
Mg (0.3260, 0.8260, 0.5000)
Mg (0.6740, 0.1740, 0.5000)
Mg (0.8260, 0.6740, 0.5000)
Sc (0.1152, 0.6152, 0.0000)
Sc (0.3848, 0.1152, 0.0000)
Sc (0.6152, 0.8848, 0.0000)
Sc (0.8848, 0.3848, 0.0000)

---

Record 2
KMgSc: relaxed, GGA-PBE.

Summary:
The calculation puts the calculated volume at 40.033 A^3/atom. As for the uncorrected energy: -2.21 eV/atom. For the formation energy, the calculation gives 799 meV/atom.

a = 7.8319 Å, b = 7.8319 Å, c = 7.8319 Å
α = 90.00°, β = 90.00°, γ = 90.00°
Element x y z (fractional)
K (0.0000, 0.0000, 0.0000)
K (0.0000, 0.5000, 0.5000)
K (0.5000, 0.0000, 0.5000)
K (0.5000, 0.5000, 0.0000)
Mg (0.2500, 0.2500, 0.2500)
Mg (0.2500, 0.7500, 0.7500)
Mg (0.7500, 0.2500, 0.7500)
Mg (0.7500, 0.7500, 0.2500)
Sc (0.0000, 0.0000, 0.5000)
Sc (0.0000, 0.5000, 0.0000)
Sc (0.5000, 0.0000, 0.0000)
Sc (0.5000, 0.5000, 0.5000)

---

Record 3
K4Mg2Sc: relaxed, GGA-PBE.

Summary:
The calculation puts the calculated volume at 58.925 A^3/atom. As for the uncorrected energy: -1.31 eV/atom. For the formation energy, the calculation gives 679 meV/atom.

a = 6.7809 Å, b = 6.7809 Å, c = 17.9411 Å
α = 90.00°, β = 90.00°, γ = 90.00°
Element x y z (fractional)
K (0.0000, 0.0000, 0.2075)
K (0.0000, 0.0000, 0.7925)
K (0.0000, 0.5000, 0.0000)
K (0.0000, 0.5000, 0.5000)
K (0.5000, 0.0000, 0.0000)
K (0.5000, 0.0000, 0.5000)
K (0.5000, 0.5000, 0.2925)
K (0.5000, 0.5000, 0.7075)
Mg (0.0000, 0.0000, 0.4132)
Mg (0.0000, 0.0000, 0.5868)
Mg (0.5000, 0.5000, 0.0868)
Mg (0.5000, 0.5000, 0.9132)
Sc (0.0000, 0.0000, 0.0000)
Sc (0.5000, 0.5000, 0.5000)

---

Q: What is the formula in the second record?
A: KMgSc

---

Q: Which value of calculated volume does entry 1 give?
A: 29.066 A^3/atom

---

Q: Among the records above, which one has the lowest uncorrected energy?
A: KMg2Sc2

---

Q: What is the calculated volume in the third record?
A: 58.925 A^3/atom